# KZn2MoF8

Crystalline KZn2MoF8 at its relaxed geometry (PBE+U, Alexandria via LeMat-Bulk).

Cell: 5.319 5.319 8.432 Å, 71.61 71.61 60.00°
Fractional coordinates of all 12 atoms:
Mo1 0.000 0.000 0.000
F1 0.830 0.830 0.511
K1 0.500 0.500 0.500
F2 0.627 0.269 0.157
F3 0.731 0.053 0.843
Zn1 0.751 0.751 0.748
F4 0.947 0.627 0.157
Zn2 0.249 0.249 0.252
F5 0.373 0.731 0.843
F6 0.053 0.373 0.843
F7 0.170 0.170 0.489
F8 0.269 0.947 0.157

Output
Its space group is No. 148. The calculation puts the energy at -4.5637 eV/atom.